Below is a geometry-optimized ScRePb structure, with properties calculated at the PBE level.

## Properties
As for the distance to the lowest polymorph of the same formula: 0 meV per atom. The energy relative to the elements is 16 kJ per mole of atoms. The calculation puts the calculated volume at 19.5 Å³/atom. Its size of the total moment is 0.00 μB/f.u.

Geometry as CIF:
```
data_ScRePb
_chemical_formula_sum 'Sc2 Re2 Pb2'
_cell_length_a 3.5373
_cell_length_b 3.5373
_cell_length_c 9.3534
_cell_angle_alpha 90.00
_cell_angle_beta 90.00
_cell_angle_gamma 90.00
_space_group_name_H-M_alt 'I 4 m m'
_space_group_IT_number 107
_space_group_name_Hall 'I 4 -2'
loop_
_atom_site_label
_atom_site_type_symbol
_atom_site_fract_x
_atom_site_fract_y
_atom_site_fract_z
_atom_site_occupancy
Sc1 Sc 0.0000 0.0000 0.0000 1
Re1 Re 0.0000 0.0000 0.3517 1
Pb1 Pb 0.0000 0.0000 0.6850 1
```

---

Below is a geometry-optimized Sm2LuAl structure, with properties calculated at the PBE level.

## Properties
As for the distance to the lowest polymorph of the same formula: 0 meV per atom. The energy relative to the elements is -17 kJ per mole of atoms. The calculation puts the calculated volume at 27.5 Å³/atom. Its size of the total moment is 0.00 μB/f.u.

Geometry as CIF:
```
data_Sm2LuAl
_chemical_formula_sum 'Sm2 Lu1 Al1'
_cell_length_a 4.7884
_cell_length_b 4.7884
_cell_length_c 4.7963
_cell_angle_alpha 90.00
_cell_angle_beta 90.00
_cell_angle_gamma 90.00
_space_group_name_H-M_alt 'P 4/m m m'
_space_group_IT_number 123
_space_group_name_Hall '-P 4 2'
loop_
_atom_site_label
_atom_site_type_symbol
_atom_site_fract_x
_atom_site_fract_y
_atom_site_fract_z
_atom_site_occupancy
Sm1 Sm 0.0000 0.5000 0.0000 1
Lu1 Lu 0.0000 0.0000 0.5000 1
Al1 Al 0.5000 0.5000 0.5000 1
```

---

Below is a geometry-optimized Rb3Pd3PtO8 structure, with properties calculated at the PBE level.

## Properties
The value obtained for the formation energy (no corrections) is -746 meV per atom. The calculation puts the calculated volume at 16.5 Å³/atom. Its size of the total moment is 0.86 μB/f.u.

Geometry as CIF:
```
data_Rb3Pd3PtO8
_chemical_formula_sum 'Rb6 Pd6 Pt2 O16'
_cell_length_a 12.7687
_cell_length_b 6.2559
_cell_length_c 7.0112
_cell_angle_alpha 90.00
_cell_angle_beta 117.91
_cell_angle_gamma 90.00
_space_group_name_H-M_alt 'C 1 2/m 1'
_space_group_IT_number 12
_space_group_name_Hall '-C 2y'
loop_
_atom_site_label
_atom_site_type_symbol
_atom_site_fract_x
_atom_site_fract_y
_atom_site_fract_z
_atom_site_occupancy
Rb1 Rb 0.0000 0.0000 0.0000 1
Rb2 Rb 0.2500 0.2500 0.0000 1
Pd1 Pd 0.0000 0.5000 0.5000 1
Pd2 Pd 0.2500 0.2500 0.5000 1
Pt1 Pt 0.0000 0.0000 0.5000 1
O1 O 0.0184 0.2501 0.6971 1
O2 O 0.1801 0.0000 0.5995 1
O3 O 0.1856 0.5000 0.6055 1
```

---

Below is a geometry-optimized CaFe2Pb structure, with properties calculated at the PBE level.

## Properties
The energy relative to the elements is 20 kJ per mole of atoms. The calculation puts the calculated volume at 20.2 Å³/atom. Its size of the total moment is 4.83 μB/f.u.

Geometry as CIF:
```
data_CaFe2Pb
_chemical_formula_sum 'Ca1 Fe2 Pb1'
_cell_length_a 3.2906
_cell_length_b 3.2906
_cell_length_c 7.4720
_cell_angle_alpha 90.00
_cell_angle_beta 90.00
_cell_angle_gamma 90.00
_space_group_name_H-M_alt 'P 4 m m'
_space_group_IT_number 99
_space_group_name_Hall 'P 4 -2'
loop_
_atom_site_label
_atom_site_type_symbol
_atom_site_fract_x
_atom_site_fract_y
_atom_site_fract_z
_atom_site_occupancy
Ca1 Ca 0.0000 0.0000 0.0000 1
Fe1 Fe 0.0000 0.0000 0.3993 1
Fe2 Fe 0.5000 0.5000 0.2796 1
Pb1 Pb 0.5000 0.5000 0.6526 1
```

---

Below is a geometry-optimized TlTeH6N2 structure, with properties calculated at the PBE level.

## Properties
The total DFT energy (no corrections) comes out at -180.66 eV/cell. The calculation puts the calculated volume at 18.2 Å³/atom. Its size of the total moment is 0.00 μB/f.u.

Geometry as CIF:
```
data_TlTeH6N2
_chemical_formula_sum 'Tl4 Te4 H24 N8'
_cell_length_a 9.6155
_cell_length_b 12.0811
_cell_length_c 6.2570
_cell_angle_alpha 90.00
_cell_angle_beta 90.69
_cell_angle_gamma 90.00
_space_group_name_H-M_alt 'C 1 2/m 1'
_space_group_IT_number 12
_space_group_name_Hall '-C 2y'
loop_
_atom_site_label
_atom_site_type_symbol
_atom_site_fract_x
_atom_site_fract_y
_atom_site_fract_z
_atom_site_occupancy
Tl1 Tl 0.2318 0.0000 0.2648 1
Te1 Te 0.0665 0.5000 0.3006 1
H1 H 0.1167 0.2699 0.6363 1
H2 H 0.1400 0.2520 0.8942 1
H3 H 0.2496 0.1941 0.7258 1
N1 N 0.1911 0.2639 0.7538 1
```

---

Below is a geometry-optimized Hf8Pb structure, with properties calculated at the PBE level.

## Properties
The energy relative to the elements is -2 kJ per mole of atoms. The calculation puts the calculated volume at 22.6 Å³/atom. Its size of the total moment is 0.00 μB/f.u.

Geometry as CIF:
```
data_Hf8Pb
_chemical_formula_sum 'Hf16 Pb2'
_cell_length_a 9.6979
_cell_length_b 9.6979
_cell_length_c 4.3162
_cell_angle_alpha 90.00
_cell_angle_beta 90.00
_cell_angle_gamma 90.00
_space_group_name_H-M_alt 'I 4/m m m'
_space_group_IT_number 139
_space_group_name_Hall '-I 4 2'
loop_
_atom_site_label
_atom_site_type_symbol
_atom_site_fract_x
_atom_site_fract_y
_atom_site_fract_z
_atom_site_occupancy
Hf1 Hf 0.0000 0.3374 0.0000 1
Hf2 Hf 0.1710 0.1710 0.5000 1
Pb1 Pb 0.0000 0.0000 0.0000 1
```

---

Below is a geometry-optimized Ba2NaH6Pd structure, with properties calculated at the PBE level.

## Properties
The total DFT energy (no corrections) comes out at -33.66 eV/cell. The calculation puts the calculated volume at 15.4 Å³/atom. Its size of the total moment is 0.00 μB/f.u.

Geometry as CIF:
```
data_Ba2NaH6Pd
_chemical_formula_sum 'Ba2 Na1 H6 Pd1'
_cell_length_a 5.7588
_cell_length_b 5.7588
_cell_length_c 5.3625
_cell_angle_alpha 90.00
_cell_angle_beta 90.00
_cell_angle_gamma 120.00
_space_group_name_H-M_alt 'P -3 m 1'
_space_group_IT_number 164
_space_group_name_Hall '-P 3 2"'
loop_
_atom_site_label
_atom_site_type_symbol
_atom_site_fract_x
_atom_site_fract_y
_atom_site_fract_z
_atom_site_occupancy
Ba1 Ba 0.3333 0.6667 0.2084 1
Na1 Na 0.0000 0.0000 0.5000 1
H1 H 0.1563 0.3126 0.8059 1
Pd1 Pd 0.0000 0.0000 0.0000 1
```

---

Below is a geometry-optimized LaTa2P structure, with properties calculated at the PBE level.

## Properties
The energy relative to the elements is 6 kJ per mole of atoms. The calculation puts the calculated volume at 21.5 Å³/atom. Its size of the total moment is 0.00 μB/f.u.

Geometry as CIF:
```
data_LaTa2P
_chemical_formula_sum 'La1 Ta2 P1'
_cell_length_a 3.8602
_cell_length_b 4.6217
_cell_length_c 4.8706
_cell_angle_alpha 90.00
_cell_angle_beta 98.68
_cell_angle_gamma 90.00
_space_group_name_H-M_alt 'P 1 2/m 1'
_space_group_IT_number 10
_space_group_name_Hall '-P 2y'
loop_
_atom_site_label
_atom_site_type_symbol
_atom_site_fract_x
_atom_site_fract_y
_atom_site_fract_z
_atom_site_occupancy
La1 La 0.0000 0.0000 0.0000 1
Ta1 Ta 0.3246 0.5000 0.7012 1
P1 P 0.5000 0.0000 0.5000 1
```

---

Please write out number 3 again, unchanged.
Below is a geometry-optimized Rb3Pd3PtO8 structure, with properties calculated at the PBE level.

## Properties
The value obtained for the formation energy (no corrections) is -746 meV per atom. The calculation puts the calculated volume at 16.5 Å³/atom. Its size of the total moment is 0.86 μB/f.u.

Geometry as CIF:
```
data_Rb3Pd3PtO8
_chemical_formula_sum 'Rb6 Pd6 Pt2 O16'
_cell_length_a 12.7687
_cell_length_b 6.2559
_cell_length_c 7.0112
_cell_angle_alpha 90.00
_cell_angle_beta 117.91
_cell_angle_gamma 90.00
_space_group_name_H-M_alt 'C 1 2/m 1'
_space_group_IT_number 12
_space_group_name_Hall '-C 2y'
loop_
_atom_site_label
_atom_site_type_symbol
_atom_site_fract_x
_atom_site_fract_y
_atom_site_fract_z
_atom_site_occupancy
Rb1 Rb 0.0000 0.0000 0.0000 1
Rb2 Rb 0.2500 0.2500 0.0000 1
Pd1 Pd 0.0000 0.5000 0.5000 1
Pd2 Pd 0.2500 0.2500 0.5000 1
Pt1 Pt 0.0000 0.0000 0.5000 1
O1 O 0.0184 0.2501 0.6971 1
O2 O 0.1801 0.0000 0.5995 1
O3 O 0.1856 0.5000 0.6055 1
```

---

Q: Which of these has the highest calculated volume?
A: Sm2LuAl